Entry from OQMD via LeMat-Bulk: ScCdCuPd after structural relaxation (PBE).

The structure in POSCAR format:
```
ScCdCuPd
1.0
-1.487 -4.040 -1.597
-2.174 -2.916 2.802
-4.501 -0.750 -0.511
Pd Cd Cu Sc
1 1 1 1
Cartesian
0.000 0.000 0.000
-4.081 -3.853 0.347
-2.040 -1.927 0.174
-6.121 -5.780 0.521
```

Output
raw total energy = -4.370 eV per atom
space group = No. 216
crystal system = cubic

Entry from OQMD via LeMat-Bulk: TbSmLu after structural relaxation (PBE).

The structure in POSCAR format:
```
TbSmLu
1.0
0.000 3.838 3.838
3.838 0.000 3.838
3.838 3.838 0.000
Tb Lu Sm
1 1 1
Cartesian
5.757 5.757 5.757
1.919 1.919 1.919
0.000 0.000 0.000
```

Output
raw total energy = -3.866 eV per atom
space group = No. 216
crystal system = cubic

Entry from OQMD via LeMat-Bulk: Y3Sc3NiTe2 after structural relaxation (PBE).

The structure in POSCAR format:
```
Y3Sc3NiTe2
1.0
-1.900 7.433 2.297
-4.605 -6.171 2.199
2.167 -0.455 3.263
Y Sc Ni Te
3 3 1 2
Cartesian
-3.940 0.764 2.723
-0.749 2.931 0.906
-1.816 -2.434 0.867
-0.380 5.499 3.402
-0.410 0.062 2.664
-2.464 -4.982 3.326
0.000 0.000 0.000
-2.620 -1.864 3.864
-1.718 2.671 3.896
```

Output
raw total energy = -6.326 eV per atom
space group = No. 189
crystal system = hexagonal

Entry from OQMD via LeMat-Bulk: NaDyCdO3 after structural relaxation (PBE).

The structure in POSCAR format:
```
NaDyCdO3
1.0
-6.280 -4.877 4.032
0.060 -4.042 -4.795
2.374 1.565 5.590
Dy O Na Cd
2 6 2 2
Cartesian
-3.140 -2.438 2.016
0.000 0.000 0.000
-2.384 -2.209 8.399
-1.753 -3.083 3.744
-1.462 -5.145 -3.571
-4.672 -5.350 5.618
-2.093 -4.271 1.084
0.826 -2.004 -0.790
-0.003 -1.610 2.977
-3.843 -5.745 1.851
-3.208 -4.205 4.702
-0.638 -3.149 0.126
```

Output
raw total energy = -5.596 eV per atom
space group = No. 63
crystal system = orthorhombic

Entry from OQMD via LeMat-Bulk: Pr2ScO2 after structural relaxation (PBE).

The structure in POSCAR format:
```
Pr2ScO2
1.0
-6.138 1.474 -1.052
-1.944 -9.317 -1.706
-0.618 -0.422 3.012
O Pr Sc
4 4 2
Cartesian
-4.029 -5.624 -0.017
-4.671 -2.642 0.270
-1.192 -1.413 1.156
-7.508 -6.853 -0.903
-2.906 -1.012 -0.738
-1.815 -6.166 -1.237
-5.177 -6.832 -2.020
-6.268 -1.678 -1.521
-4.041 -3.922 -1.379
0.000 0.000 0.000
```

Output
raw total energy = -7.109 eV per atom
space group = No. 55
crystal system = orthorhombic

Entry from OQMD via LeMat-Bulk: CoCuNiSe3 after structural relaxation (PBE).

The structure in POSCAR format:
```
CoCuNiSe3
1.0
6.987 0.000 0.000
0.000 3.457 0.000
-2.150 0.000 9.268
Co Se Cu Ni
2 6 2 2
Cartesian
3.492 2.593 6.508
1.344 0.864 2.761
0.538 2.593 4.355
4.298 0.864 4.913
2.712 2.593 1.697
2.125 0.864 7.571
-1.326 2.593 7.540
6.162 0.864 1.728
0.544 2.593 0.750
4.292 0.864 8.518
1.831 0.864 5.326
3.005 2.593 3.942
```

Output
raw total energy = -4.637 eV per atom
space group = No. 11
crystal system = monoclinic

- What is the raw total energy in the second record?
  -3.866 eV per atom